Below is Ba2Al4Ga3Cu after structural relaxation, with properties calculated at the GGA-PBE level.

a = 4.486 Å, b = 4.486 Å, c = 11.180 Å
α = 90.00°, β = 90.00°, γ = 90.00°
Sites, in units of the cell vectors:
Ba1 0.000 0.500 0.248
Ba2 0.500 0.000 0.752
Al1 0.000 0.000 0.500
Al2 0.000 0.500 0.879
Al3 0.500 0.000 0.121
Al4 0.500 0.500 0.500
Ga1 0.000 0.000 0.000
Ga2 0.000 0.500 0.636
Ga3 0.500 0.000 0.364
Cu1 0.500 0.500 0.000

Calculated values
- total moment (μB/cell) = 0.00
- ΔH_f (0 K) (eV/f.u.) = -3.1
- space-group type = P-4m2, No. 115
- crystal system = tetragonal

Below is BaAl2Ga4Cu after structural relaxation, with properties calculated at the GGA-PBE level.

a = 9.682 Å, b = 9.682 Å, c = 9.682 Å
α = 27.36°, β = 27.36°, γ = 27.36°
Sites, in units of the cell vectors:
Ba1 0.000 0.000 0.000
Al1 0.235 0.235 0.235
Al2 0.765 0.765 0.765
Ga1 0.136 0.136 0.136
Ga2 0.410 0.410 0.410
Ga3 0.590 0.590 0.590
Ga4 0.864 0.864 0.864
Cu1 0.500 0.500 0.500

Calculated values
- total moment (μB/cell) = 0.00
- ΔH_f (0 K) (eV/f.u.) = -1.3
- space-group type = R-3m, No. 166
- crystal system = trigonal

Below is BaAlCuGe2 after structural relaxation, with properties calculated at the GGA-PBE level.

a = 6.353 Å, b = 6.353 Å, c = 6.353 Å
α = 139.23°, β = 139.23°, γ = 59.02°
Sites, in units of the cell vectors:
Ba1 0.000 0.000 0.000
Al1 0.750 0.250 0.500
Cu1 0.250 0.750 0.500
Ge1 0.374 0.374 0.000
Ge2 0.626 0.626 0.000

Calculated values
- total moment (μB/cell) = 0.00
- ΔH_f (0 K) (eV/f.u.) = -1.7
- space-group type = I-4m2, No. 119
- crystal system = tetragonal

Below is BaAlCuH6 after structural relaxation, with properties calculated at the GGA-PBE level.

a = 4.803 Å, b = 4.803 Å, c = 5.420 Å
α = 90.00°, β = 90.00°, γ = 120.00°
Sites, in units of the cell vectors:
Ba1 0.000 0.000 0.000
Al1 0.667 0.333 0.500
Cu1 0.333 0.667 0.500
H1 0.402 0.009 0.692
H2 0.402 0.393 0.308
H3 0.607 0.009 0.308
H4 0.607 0.598 0.692
H5 0.991 0.393 0.692
H6 0.991 0.598 0.308

Calculated values
- total moment (μB/cell) = 0.00
- VASP energy (eV/f.u.) = -31.1
- space-group type = P312, No. 149
- crystal system = trigonal

Below is Ba2AlCuHg after structural relaxation, with properties calculated at the GGA-PBE level.

a = 6.213 Å, b = 6.213 Å, c = 4.654 Å
α = 90.00°, β = 90.00°, γ = 90.00°
Sites, in units of the cell vectors:
Ba1 0.000 0.500 0.000
Ba2 0.500 0.000 0.000
Al1 0.000 0.000 0.500
Cu1 0.000 0.000 0.000
Hg1 0.500 0.500 0.500

Calculated values
- total moment (μB/cell) = 0.00
- ΔH_f (0 K) (eV/f.u.) = -0.8
- space-group type = P4/mmm, No. 123
- crystal system = tetragonal

Below is K2BaAlCu after structural relaxation, with properties calculated at the GGA-PBE level.

a = 7.565 Å, b = 7.565 Å, c = 5.918 Å
α = 90.00°, β = 90.00°, γ = 90.00°
Sites, in units of the cell vectors:
K1 0.000 0.500 0.000
K2 0.500 0.000 0.000
Ba1 0.000 0.000 0.000
Al1 0.000 0.000 0.500
Cu1 0.500 0.500 0.500

Calculated values
- total moment (μB/cell) = 0.00
- ΔH_f (0 K) (eV/f.u.) = 5.6
- space-group type = P4/mmm, No. 123
- crystal system = tetragonal

The following density of states at the Fermi level values (in states/eV per cell) correspond, in order, to the records above: 3.3, 2.3, 1.2, 0.1, 3.9, 6.5.